PBE Tm2CdPd5, relaxed; energy = -5.31 eV per atom; ΔH_f (0 K) = -0.83 eV/atom; DOS at the Fermi energy = 1.80 states/eV/f.u.; calculated volume = 142 Å³/f.u.
1.0
-4.811 3.560 0.779
-2.708 -4.355 3.182
5.339 1.814 1.303
Tm Cd Pd
2 1 5
Direct
0.222 0.722 0.444
0.722 0.222 0.444
0.222 0.222 0.444
0.722 0.222 0.944
0.222 0.222 0.944
0.722 0.722 0.944
0.222 0.722 0.944
0.722 0.722 0.444

PBE TmCd2Pd7, relaxed; energy = -4.32 eV per atom; ΔH_f (0 K) = -0.06 eV/atom; DOS at the Fermi energy = 3.42 states/eV/f.u.; calculated volume = 220 Å³/f.u.
1.0
-3.945 1.453 1.035
-1.145 -6.346 4.549
3.147 6.821 2.417
Tm Cd Pd
1 2 7
Direct
0.000 0.000 0.000
0.500 0.701 0.299
0.500 0.299 0.701
0.000 0.812 0.188
0.000 0.188 0.812
0.500 0.082 0.286
0.500 0.918 0.714
0.500 0.286 0.082
0.500 0.714 0.918
0.500 0.500 0.500

PBE Tm3CdPd6, relaxed; energy = -5.37 eV per atom; ΔH_f (0 K) = -0.82 eV/atom; DOS at the Fermi energy = 4.39 states/eV/f.u.; energy above the lowest structure with this stoichiometry = 0 meV/atom; calculated volume = 187 Å³/f.u.
1.0
-1.171 -4.048 -2.468
7.211 -3.047 1.575
-7.151 -2.333 7.221
Tm Cd Pd
6 2 12
Direct
0.250 0.531 0.381
0.750 0.469 0.619
0.250 0.341 0.788
0.750 0.659 0.212
0.250 0.795 0.987
0.750 0.205 0.013
0.250 0.946 0.572
0.750 0.054 0.428
0.250 0.465 0.082
0.750 0.535 0.918
0.250 0.164 0.174
0.750 0.836 0.826
0.250 0.663 0.680
0.750 0.337 0.320
0.250 0.256 0.482
0.750 0.744 0.518
0.250 0.875 0.281
0.750 0.125 0.719
0.250 0.050 0.863
0.750 0.950 0.137

PBE Tm4CdPd, relaxed; energy = -4.36 eV per atom; ΔH_f (0 K) = -0.36 eV/atom; DOS at the Fermi energy = 6.34 states/eV/f.u.; energy above the lowest structure with this stoichiometry = 110 meV/atom; calculated volume = 159 Å³/f.u.
1.0
5.955 -0.690 0.000
-2.439 8.699 0.000
-1.758 -4.004 6.348
Tm Cd Pd
8 2 2
Direct
0.092 0.204 0.829
0.765 0.717 0.647
0.237 0.626 0.829
0.382 0.930 0.647
0.618 0.070 0.353
0.763 0.374 0.171
0.235 0.283 0.353
0.908 0.796 0.171
0.371 0.621 0.242
0.629 0.379 0.758
0.250 0.000 0.001
0.750 0.000 0.999

PBE TmCd4Pd15, relaxed; energy = -4.67 eV per atom; ΔH_f (0 K) = -0.37 eV/atom; DOS at the Fermi energy = 24.42 states/eV/f.u.; calculated volume = 331 Å³/f.u.
1.0
-3.317 2.141 -0.891
-2.289 -3.274 0.653
-1.873 5.181 19.417
Tm Cd Pd
1 4 15
Direct
0.000 0.000 0.000
0.000 0.000 0.203
0.000 0.000 0.401
0.000 0.000 0.599
0.000 0.000 0.797
0.500 0.500 0.000
0.500 0.500 0.202
0.500 0.500 0.401
0.500 0.500 0.599
0.500 0.500 0.798
0.500 0.000 0.102
0.500 0.000 0.302
0.500 0.000 0.500
0.500 0.000 0.698
0.500 0.000 0.898
0.000 0.500 0.102
0.000 0.500 0.302
0.000 0.500 0.500
0.000 0.500 0.698
0.000 0.500 0.898

PBE TmCd3Pd4, relaxed; energy = -3.82 eV per atom; ΔH_f (0 K) = -0.32 eV/atom; DOS at the Fermi energy = 2.75 states/eV/f.u.; energy above the lowest structure with this stoichiometry = 261 meV/atom; calculated volume = 154 Å³/f.u.
1.0
6.249 -0.295 -0.857
-3.334 5.293 0.857
-3.381 -1.377 5.152
Tm Cd Pd
1 3 4
Direct
0.235 0.500 0.735
0.617 0.265 0.882
0.831 0.000 0.831
0.617 0.735 0.352
0.115 0.767 0.882
0.115 0.233 0.347
0.555 0.244 0.311
0.068 0.756 0.311